Computed, not measured: an optimized crystal structure of TmMnO3 at the GGA+U level of DFT.

Results
magnetic moment = 4.000 μB/f.u.
energy = -0.2956 Ha/atom
symmetry = P6_3cm (185)

a = 6.143 Å, b = 6.143 Å, c = 11.486 Å
α = 90.00°, β = 90.00°, γ = 120.00°
Fractional coordinates of all 30 atoms:
1 Tm 0.000 0.000 0.000
2 Tm 0.000 0.000 0.500
3 Tm 0.333 0.667 0.456
4 Tm 0.333 0.667 0.956
5 Tm 0.667 0.333 0.456
6 Tm 0.667 0.333 0.956
7 Mn 0.000 0.333 0.225
8 Mn 0.000 0.667 0.725
9 Mn 0.333 0.000 0.225
10 Mn 0.333 0.333 0.725
11 Mn 0.667 0.000 0.725
12 Mn 0.667 0.667 0.225
13 O 0.000 0.000 0.199
14 O 0.000 0.000 0.699
15 O 0.000 0.306 0.391
16 O 0.000 0.360 0.060
17 O 0.000 0.640 0.560
18 O 0.000 0.694 0.891
19 O 0.306 0.000 0.391
20 O 0.306 0.306 0.891
21 O 0.333 0.667 0.248
22 O 0.333 0.667 0.748
23 O 0.360 0.000 0.060
24 O 0.360 0.360 0.560
25 O 0.640 0.000 0.560
26 O 0.640 0.640 0.060
27 O 0.667 0.333 0.248
28 O 0.667 0.333 0.748
29 O 0.694 0.000 0.891
30 O 0.694 0.694 0.391